Material: CsNaHg2As
Method: DFT, PBE-GGA
State: optimized geometry

```
CsNaHg2As
1.0
-1.0888 -3.9017 3.9677
3.1282 -3.7728 -2.8517
4.5235 1.6132 2.8278
Hg As Cs Na
2 1 1 1
direct
0.0000 0.5000 0.0000
0.5000 0.0000 0.0000
0.0000 0.0000 0.0000
0.5000 0.5000 0.5000
0.0000 0.0000 0.5000
```

Computed properties:
Symmetry ... P4/mmm
Formation energy ... -0.158 eV per atom
Magnetization ... 0.00 μB per formula unit
Volume ... 179.2 Å³/cell

---

Material: CsNaHgAs
Method: DFT, PBE-GGA
State: optimized geometry

```
CsNaHgAs
1.0
4.7903 0.0000 0.0000
0.0000 5.5162 0.0000
-2.3952 -2.7581 5.6911
Na As Cs Hg
1 1 1 1
direct
0.3141 0.3141 0.6281
0.2197 0.7197 0.4394
0.9770 0.9770 0.9541
0.6045 0.6045 0.2091
```

Computed properties:
Symmetry ... Imm2
Formation energy ... -0.257 eV per atom
Magnetization ... 0.00 μB per formula unit
Volume ... 150.4 Å³/cell

---

Material: CsNiHg2As
Method: DFT, PBE-GGA
State: optimized geometry

```
CsNiHg2As
1.0
-3.3948 2.4857 -3.4077
-2.7645 -4.6150 -0.6123
-2.7785 1.1827 3.6306
Cs Hg As Ni
1 2 1 1
direct
0.5000 0.5000 0.5000
0.0000 0.5000 0.0000
0.5000 0.0000 0.0000
0.0000 0.0000 0.5000
0.0000 0.0000 0.0000
```

Computed properties:
Symmetry ... P4/mmm
Formation energy ... -0.054 eV per atom
Magnetization ... 1.46 μB per formula unit
Volume ... 138.4 Å³/cell

---

Material: CsHg2As2O7
Method: DFT, PBE-GGA
State: optimized geometry

```
CsHg2As2O7
1.0
6.0263 0.0000 0.0000
3.0132 5.2189 0.0000
3.0132 1.7396 8.7287
O Hg As Cs
7 2 2 1
direct
0.3677 0.0661 0.7422
0.8241 0.3677 0.7422
0.0000 0.0000 0.0000
0.6323 0.1759 0.2578
0.1759 0.9339 0.2578
0.0661 0.8241 0.7422
0.9339 0.6323 0.2578
0.2794 0.2794 0.1617
0.7206 0.7206 0.8383
0.0674 0.0674 0.7977
0.9326 0.9326 0.2023
0.5000 0.5000 0.5000
```

Computed properties:
Uncorrected formation energy ... -0.959 eV/atom
Symmetry ... R32
Magnetization ... 0.00 μB per formula unit
Volume ... 274.5 Å³/cell

---

Material: Cs3HgAs2O8
Method: DFT, PBE-GGA
State: optimized geometry

```
Cs3HgAs2O8
1.0
6.2112 0.0000 0.0000
-3.1056 5.3790 0.0000
0.0000 0.0000 8.5135
O Cs As Hg
8 3 2 1
direct
0.6432 0.8216 0.3294
0.1784 0.8216 0.3294
0.6667 0.3333 0.9284
0.8216 0.1784 0.6706
0.3333 0.6667 0.0716
0.1784 0.3568 0.3294
0.3568 0.1784 0.6706
0.8216 0.6432 0.6706
0.3333 0.6667 0.7226
0.0000 0.0000 0.0000
0.6667 0.3333 0.2774
0.6667 0.3333 0.7266
0.3333 0.6667 0.2734
0.0000 0.0000 0.5000
```

Computed properties:
Uncorrected formation energy ... -1.244 eV/atom
Symmetry ... P-3m1
Magnetization ... 1.09 μB per formula unit
Volume ... 284.4 Å³/cell

---

Material: Cs4Hg2As2Pd
Method: DFT, PBE-GGA
State: optimized geometry

```
Cs4Hg2As2Pd
1.0
-4.1887 0.4615 4.3644
-2.0216 -8.0648 0.7823
4.3017 -3.3071 6.3480
Pd Cs Hg As
1 4 2 2
direct
0.5000 0.0000 0.0000
0.2499 0.1233 0.6365
0.7501 0.8767 0.3635
0.7501 0.3635 0.8767
0.2499 0.6365 0.1233
0.1898 0.6628 0.6628
0.8102 0.3372 0.3372
0.2459 0.1598 0.1598
0.7541 0.8402 0.8402
```

Computed properties:
Symmetry ... C2/m
Formation energy ... -0.232 eV per atom
Magnetization ... 1.95 μB per formula unit
Volume ... 391.7 Å³/cell

---

The lowest volume belongs to which entry?
CsNiHg2As